Record 1
Below is crystalline CsTl2HgI4 at its relaxed geometry, with properties calculated at the PBE level. Values from VASP.

The space group is No. 63. The calculation puts the formation energy without anion corrections at -0.7230 eV per atom.

```
&SYSTEM
  ibrav = 0, nat = 16, ntyp = 4
/
ATOMIC_SPECIES
Cs 132.91 Cs.upf
Tl 204.38 Tl.upf
Hg 200.59 Hg.upf
I 126.90 I.upf
ATOMIC_POSITIONS crystal
Cs 0.139 0.278 0.750
Cs 0.861 0.722 0.250
Tl 0.373 0.745 0.544
Tl 0.627 0.255 0.044
Tl 0.627 0.255 0.456
Tl 0.373 0.745 0.956
Hg 0.889 0.777 0.750
Hg 0.111 0.223 0.250
I 0.257 0.514 0.120
I 0.743 0.486 0.620
I 0.743 0.486 0.880
I 0.257 0.514 0.380
I 0.000 0.000 0.500
I 0.000 0.000 0.000
I 0.439 0.877 0.750
I 0.561 0.123 0.250
CELL_PARAMETERS angstrom
5.611 0.000 0.000
-2.805 8.033 0.000
0.000 0.000 17.192
```

Record 2
Below is crystalline InCo2HIr at its relaxed geometry, with properties calculated at the PBE level. Values from VASP.

The space group is No. 123. The calculation puts the calculated total energy at -5.72 eV per atom.

```
&SYSTEM
  ibrav = 0, nat = 5, ntyp = 4
/
ATOMIC_SPECIES
H 1.01 H.upf
Ir 192.22 Ir.upf
Co 58.93 Co.upf
In 114.82 In.upf
ATOMIC_POSITIONS crystal
H 0.000 0.000 0.000
Ir 0.000 0.000 0.500
Co 0.000 0.500 0.000
Co 0.500 0.000 0.000
In 0.500 0.500 0.500
CELL_PARAMETERS angstrom
3.865 0.000 0.000
0.000 3.865 0.000
0.000 0.000 3.839
```

Record 3
Below is crystalline TaNbH2Os at its relaxed geometry, with properties calculated at the PBE level. Values from VASP.

The space group is No. 123. The calculation puts the calculated total energy at -7.02 eV per atom.

```
&SYSTEM
  ibrav = 0, nat = 5, ntyp = 4
/
ATOMIC_SPECIES
H 1.01 H.upf
Nb 92.91 Nb.upf
Os 190.23 Os.upf
Ta 180.95 Ta.upf
ATOMIC_POSITIONS crystal
H 0.000 0.000 0.500
H 0.500 0.000 0.000
Nb 0.500 0.500 0.500
Os 0.000 0.000 0.000
Ta 0.000 0.500 0.000
CELL_PARAMETERS angstrom
3.710 0.000 0.000
0.000 5.033 0.000
0.000 0.000 3.710
```

For the records above, the corresponding Fermi-level density of states values read 2.64, 5.86, 3.19 states/eV/cell.
For the records above, the corresponding magnetic moment values read 0.00, 0.00, 0.00 μB per formula unit.